Computed, not measured: a relaxed TmGe2Te4 crystal at the GGA-PBE level of DFT.

a = 4.1969 Å, b = 7.2913 Å, c = 13.8455 Å
α = 90.00°, β = 90.00°, γ = 106.73°
Atoms (fractional coordinates):
Te: 0.0506 0.1013 0.2500
Te: 0.7781 0.5561 0.3724
Te: 0.5000 0.0000 0.5000
Ge: 0.8672 0.7343 0.9398
Te: 0.2219 0.4439 0.6276
Ge: 0.8672 0.7343 0.5602
Te: 0.7781 0.5561 0.1276
Te: 0.9494 0.8987 0.7500
Tm: 0.6045 0.2090 0.7500
Ge: 0.1328 0.2657 0.0602
Tm: 0.3955 0.7910 0.2500
Te: 0.2219 0.4439 0.8724
Te: 0.5000 0.0000 0.0000
Ge: 0.1328 0.2657 0.4398

For the uncorrected formation energy, the calculation gives -0.4476 eV per atom. Its electronic total energy is -4.20 eV/atom.


Computed, not measured: a relaxed BaYO2 crystal at the GGA-PBE level of DFT.

a = 4.4765 Å, b = 4.4765 Å, c = 4.4765 Å
α = 60.00°, β = 60.00°, γ = 60.00°
Atoms (fractional coordinates):
Ba: 0.5000 0.5000 0.5000
O: 0.7500 0.7500 0.7500
O: 0.2500 0.2500 0.2500
Y: 0.0000 0.0000 0.0000

For the uncorrected formation energy, the calculation gives -1.9406 eV per atom. Its energy above the lowest structure with this stoichiometry is 733 meV per atom. Its electronic total energy is -6.52 eV/atom.


Computed, not measured: a relaxed RbOsS2 crystal at the GGA-PBE level of DFT.

a = 4.6977 Å, b = 4.6977 Å, c = 4.6977 Å
α = 60.00°, β = 60.00°, γ = 60.00°
Atoms (fractional coordinates):
S: 0.7500 0.7500 0.7500
Os: 0.5000 0.5000 0.5000
Rb: 0.0000 0.0000 0.0000
S: 0.2500 0.2500 0.2500

For the uncorrected formation energy, the calculation gives 0.7862 eV per atom. Its electronic total energy is -4.33 eV/atom.


Computed, not measured: a relaxed Ta2BiRu2 crystal at the GGA-PBE level of DFT.

a = 7.7727 Å, b = 7.7727 Å, c = 3.0490 Å
α = 90.00°, β = 90.00°, γ = 90.00°
Atoms (fractional coordinates):
Ru: 0.6357 0.1357 0.0000
Ta: 0.8514 0.3514 0.5000
Ru: 0.8643 0.6357 0.0000
Ta: 0.1486 0.6486 0.5000
Bi: 0.5000 0.5000 0.0000
Ru: 0.1357 0.3643 0.0000
Ta: 0.3514 0.1486 0.5000
Ta: 0.6486 0.8514 0.5000
Ru: 0.3643 0.8643 0.0000
Bi: 0.0000 0.0000 0.0000

For the calculated formation energy, the calculation gives -23.9 meV per atom. Its electronic total energy is -9.25 eV/atom.


Number 1: calculated volume 203 Å³/f.u.. Number 2: calculated volume 63 Å³/f.u.. Number 3: calculated volume 73 Å³/f.u.. Number 4: calculated volume 92 Å³/f.u..